An optimized crystal structure of In8Sn2Hg3. Source: Alexandria, functional GGA-PBE.

The structure in POSCAR format:
```
In8Sn2Hg3
1.0
8.038 -4.141 0.000
8.038 4.141 0.000
-0.001 0.000 5.586
In Sn Hg
8 2 3
Direct
0.085 0.701 0.000
0.173 0.173 0.501
0.299 0.915 0.000
0.383 0.383 0.500
0.617 0.617 0.500
0.701 0.085 0.000
0.827 0.827 0.499
0.915 0.299 0.000
0.285 0.285 0.001
0.715 0.715 0.999
0.193 0.807 0.500
0.500 0.500 0.000
0.807 0.193 0.500
```

Results
Its final energy is -2.299 eV/atom. The volume is 28.61 Å³/atom. The value obtained for the density of states at the Fermi level is 6.1 states/eV per cell. Its magnetization is 0.0 μB per cell. As for the calculated formation energy: 72 meV per atom.